# 1
Computed, not measured: an optimized crystal structure of GaIrS2Cl at the PBEsol level of DFT.

abc: 4.5456 4.5456 5.0578
angles: 90.00 90.00 90.00
Last column: nearest neighbours and their distance in Å.
Element x y z (fractional)
S: 0.5000 0.0000 0.0000  2 Ir 2.27
S: 0.0000 0.5000 0.0000  2 Ir 2.27
Ir: 0.0000 0.0000 0.0000  4 S 2.27, 2 Cl 2.53
Ga: 0.5000 0.5000 0.5000  4 Cl 3.21, 8 S 3.40
Cl: 0.0000 0.0000 0.5000  2 Ir 2.53

## Properties
symmetry: P4/mmm (123)
ΔE_f (raw): 148 meV per atom



# 2
Computed, not measured: an optimized crystal structure of ScInIr at the PBEsol level of DFT.

abc: 4.4622 4.4622 4.4622
angles: 60.00 60.00 60.00
Last column: nearest neighbours and their distance in Å.
Element x y z (fractional)
Sc: 0.0000 0.0000 0.0000  4 Ir 2.73
Ir: 0.2500 0.2500 0.2500  4 In 2.73, 4 Sc 2.73
In: 0.5000 0.5000 0.5000  4 Ir 2.73

## Properties
symmetry: F-43m (216)
ΔH_f (0 K): -519 meV per atom



# 3
Computed, not measured: an optimized crystal structure of Li2Tl2Pb at the PBEsol level of DFT.

abc: 3.3472 8.2852 8.2852
angles: 90.00 90.00 90.00
Last column: nearest neighbours and their distance in Å.
Element x y z (fractional)
Tl: 0.0000 0.1316 0.3684  6 Li 2.87-3.02, 1 Tl 3.08
Tl: 0.0000 0.3684 0.8684  6 Li 2.87-3.02, 1 Tl 3.08
Tl: 0.0000 0.8684 0.6316  6 Li 2.87-3.02, 1 Tl 3.08
Tl: 0.0000 0.6316 0.1316  6 Li 2.87-3.02, 1 Tl 3.08
Pb: 0.0000 0.0000 0.0000  4 Tl 3.24, 2 Pb 3.35, 8 Li 3.50
Pb: 0.0000 0.5000 0.5000  4 Tl 3.24, 2 Pb 3.35, 8 Li 3.50
Li: 0.5000 0.1690 0.6690  6 Tl 2.87-3.02
Li: 0.5000 0.3310 0.1690  6 Tl 2.87-3.02
Li: 0.5000 0.6690 0.8310  6 Tl 2.87-3.02
Li: 0.5000 0.8310 0.3310  6 Tl 2.87-3.02

## Properties
symmetry: P4/mbm (127)
ΔH_f (0 K): -166 meV per atom



# 4
Computed, not measured: an optimized crystal structure of LiCoAsBr2 at the PBEsol level of DFT.

abc: 4.3061 5.1242 5.1242
angles: 90.00 90.00 90.00
Last column: nearest neighbours and their distance in Å.
Element x y z (fractional)
Co: 0.0000 0.0000 0.0000  2 As 2.15
As: 0.5000 0.0000 0.0000  2 Co 2.15
Li: 0.5000 0.5000 0.5000  8 Br 3.35, 4 As 3.62
Br: 0.0000 0.5000 0.0000  2 Co 2.56
Br: 0.0000 0.0000 0.5000  2 Co 2.56

## Properties
symmetry: P4/mmm (123)
ΔE_f (raw): -188 meV per atom



# 5
Computed, not measured: an optimized crystal structure of CdNiP2Cl at the PBEsol level of DFT.

abc: 4.8669 4.8669 4.9999
angles: 90.00 90.00 90.00
Last column: nearest neighbours and their distance in Å.
Element x y z (fractional)
Ni: 0.5000 0.5000 0.5000  4 Cl 3.44, 8 P 3.49
P: 0.0000 0.5000 0.0000  2 Cd 2.43
P: 0.5000 0.0000 0.0000  2 Cd 2.43
Cd: 0.0000 0.0000 0.0000  4 P 2.43, 2 Cl 2.50
Cl: 0.0000 0.0000 0.5000  2 Cd 2.50

## Properties
symmetry: P4/mmm (123)
ΔE_f (raw): 1382 meV per atom



# 6
Computed, not measured: an optimized crystal structure of ZrMo2Cl at the PBEsol level of DFT.

abc: 3.1140 3.1140 7.5419
angles: 90.00 90.00 90.00
Last column: nearest neighbours and their distance in Å.
Element x y z (fractional)
Cl: 0.5000 0.5000 0.7233  4 Zr 2.86, 4 Cl 3.11
Mo: 0.5000 0.5000 0.2349  4 Mo 2.57
Mo: 0.0000 0.0000 0.0601  4 Mo 2.57
Zr: 0.0000 0.0000 0.4817  4 Cl 2.86, 5 Mo 2.88-3.18, 4 Zr 3.11

## Properties
energy above the lowest structure with this stoichiometry: 0.000 eV per atom
symmetry: P4mm (99)
ΔE_f (raw): -94 meV per atom



# 7
Computed, not measured: an optimized crystal structure of Cs2ZrCu3F12 at the PBEsol level of DFT.

abc: 7.0640 7.7079 10.2134
angles: 94.15 90.00 90.00
Last column: nearest neighbours and their distance in Å.
Element x y z (fractional)
F: 0.5720 0.2317 0.3889  1 Zr 2.04, 1 Cu 2.24
F: 0.0208 0.3484 0.1763  1 Zr 2.08, 1 Cu 2.22
F: 0.4463 0.2895 0.8961  2 Cu 1.91-1.93
F: 0.2500 0.4595 0.6695  1 Zr 2.01, 1 Cu 2.21
F: 0.7500 0.0605 0.1471  1 Zr 2.01
F: 0.7500 0.5405 0.3305  1 Zr 2.01, 1 Cu 2.21
F: 0.2500 0.0200 0.4373  2 Cu 1.89
F: 0.9534 0.8587 0.3414  2 Cu 1.91
F: 0.0537 0.2895 0.8961  2 Cu 1.91-1.93
F: 0.9463 0.7105 0.1039  2 Cu 1.91-1.93
F: 0.9792 0.6516 0.8237  1 Zr 2.08, 1 Cu 2.22
F: 0.2500 0.9395 0.8529  1 Zr 2.01
F: 0.5466 0.8587 0.3414  2 Cu 1.91
F: 0.0466 0.1413 0.6586  2 Cu 1.91
F: 0.7500 0.9800 0.5627  2 Cu 1.89
F: 0.0720 0.7683 0.6111  1 Zr 2.04, 1 Cu 2.24
F: 0.9280 0.2317 0.3889  1 Zr 2.04, 1 Cu 2.24
F: 0.5537 0.7105 0.1039  2 Cu 1.91-1.93
F: 0.7500 0.4020 0.0397  2 Cu 1.97
F: 0.4792 0.3484 0.1763  1 Zr 2.08, 1 Cu 2.22
F: 0.2500 0.5980 0.9603  2 Cu 1.97
F: 0.4280 0.7683 0.6111  1 Zr 2.04, 1 Cu 2.24
F: 0.4534 0.1413 0.6586  2 Cu 1.91
F: 0.5208 0.6516 0.8237  1 Zr 2.08, 1 Cu 2.22
Cs: 0.2500 0.5555 0.3747  7 F 2.97-3.18
Cs: 0.7500 0.9846 0.8535  8 F 2.97-3.19
Cs: 0.7500 0.4445 0.6253  7 F 2.97-3.18
Cs: 0.2500 0.0154 0.1465  8 F 2.97-3.19
Cu: 0.7500 0.7829 0.2275  4 F 1.91-1.93
Cu: 0.0000 0.5000 0.0000  4 F 1.91-1.97
Cu: 0.0000 0.0000 0.5000  4 F 1.89-1.91
Cu: 0.2500 0.2171 0.7725  4 F 1.91-1.93
Cu: 0.5000 0.0000 0.5000  4 F 1.89-1.91
Cu: 0.5000 0.5000 0.0000  4 F 1.91-1.97
Zr: 0.7500 0.2978 0.2434  6 F 2.01-2.08
Zr: 0.2500 0.7022 0.7566  6 F 2.01-2.08

## Properties
energy above the lowest structure with this stoichiometry: 0.000 eV per atom
symmetry: P2_1/m (11)
ΔE_f (raw): -2462 meV per atom



# 8
Computed, not measured: an optimized crystal structure of CaMg14FeO16 at the PBEsol level of DFT.

abc: 4.2816 8.5099 8.5394
angles: 90.00 90.00 90.00
Last column: nearest neighbours and their distance in Å.
Element x y z (fractional)
O: 0.5000 0.0000 0.0000  2 Ca 2.14, 4 Mg 2.18
O: 0.0000 0.7484 0.5000  6 Mg 2.10-2.14
O: 0.5000 0.5000 0.0000  4 Mg 2.08-2.13, 2 Fe 2.14
O: 0.0000 0.0000 0.2630  5 Mg 2.02-2.16, 1 Ca 2.25
O: 0.5000 0.2503 0.7506  6 Mg 2.13-2.14
O: 0.0000 0.2516 0.5000  6 Mg 2.10-2.14
O: 0.0000 0.5000 0.7426  5 Mg 2.07-2.14, 1 Fe 2.20
O: 0.5000 0.7497 0.2494  6 Mg 2.13-2.14
O: 0.5000 0.0000 0.5000  6 Mg 2.09-2.14
O: 0.5000 0.2503 0.2494  6 Mg 2.13-2.14
O: 0.0000 0.2615 0.0000  1 Fe 2.03, 4 Mg 2.14-2.17, 1 Ca 2.23
O: 0.0000 0.5000 0.2574  5 Mg 2.07-2.14, 1 Fe 2.20
O: 0.5000 0.5000 0.5000  6 Mg 2.12-2.14
O: 0.5000 0.7497 0.7506  6 Mg 2.13-2.14
O: 0.0000 0.7385 0.0000  1 Fe 2.03, 4 Mg 2.14-2.17, 1 Ca 2.23
O: 0.0000 0.0000 0.7370  5 Mg 2.02-2.16, 1 Ca 2.25
Mg: 0.5000 0.0000 0.2554  6 O 2.09-2.18
Mg: 0.0000 0.5000 0.5000  6 O 2.07-2.14
Mg: 0.5000 0.5000 0.2498  6 O 2.13-2.14
Mg: 0.5000 0.5000 0.7502  6 O 2.13-2.14
Mg: 0.0000 0.7466 0.7462  6 O 2.10-2.17
Mg: 0.0000 0.2534 0.2538  6 O 2.10-2.17
Mg: 0.5000 0.7439 0.0000  6 O 2.08-2.18
Mg: 0.5000 0.2561 0.0000  6 O 2.08-2.18
Mg: 0.5000 0.7489 0.5000  6 O 2.12-2.14
Mg: 0.0000 0.7466 0.2538  6 O 2.10-2.17
Mg: 0.0000 0.0000 0.5000  6 O 2.02-2.14
Mg: 0.5000 0.0000 0.7446  6 O 2.09-2.18
Mg: 0.0000 0.2534 0.7462  6 O 2.10-2.17
Mg: 0.5000 0.2511 0.5000  6 O 2.12-2.14
Fe: 0.0000 0.5000 0.0000  6 O 2.03-2.20
Ca: 0.0000 0.0000 0.0000  6 O 2.14-2.25

## Properties
symmetry: Pmmm (47)
ΔE_f (raw): -2600 meV per atom



# 9
Computed, not measured: an optimized crystal structure of TaMnMoP2 at the PBEsol level of DFT.

abc: 4.6794 4.6794 4.5888
angles: 90.00 90.00 90.00
Last column: nearest neighbours and their distance in Å.
Element x y z (fractional)
P: 0.0000 0.5000 0.0000  2 Ta 2.34
P: 0.5000 0.0000 0.0000  2 Ta 2.34
Mn: 0.0000 0.0000 0.5000  2 Ta 2.29
Mo: 0.5000 0.5000 0.5000  8 P 3.28, 4 Mn 3.31
Ta: 0.0000 0.0000 0.0000  2 Mn 2.29, 4 P 2.34

## Properties
symmetry: P4/mmm (123)
ΔH_f (0 K): 1391 meV per atom



# 10
Computed, not measured: an optimized crystal structure of Ba5Mg at the PBEsol level of DFT.

abc: 4.3622 7.6912 10.4248
angles: 111.10 90.00 106.47
Last column: nearest neighbours and their distance in Å.
Element x y z (fractional)
Ba: 0.6652 0.3304 0.2897  2 Mg 3.78, 1 Ba 4.14
Ba: 0.3348 0.6696 0.7103  2 Mg 3.78, 1 Ba 4.14
Ba: 0.6378 0.2756 0.8623  2 Mg 3.63
Ba: 0.3622 0.7244 0.1377  2 Mg 3.63
Ba: 0.0000 0.0000 0.5000  12 Ba 4.17-4.59
Mg: 0.0000 0.0000 0.0000  8 Ba 3.63-3.78

## Properties
energy above the lowest structure with this stoichiometry: 0.004 eV per atom
symmetry: C2/m (12)
ΔH_f (0 K): 3 meV per atom



Number 1: total magnetization 0.0 μB/f.u.. Number 2: total magnetization 0.0 μB/f.u.. Number 3: total magnetization 0.0 μB/f.u.. Number 4: total magnetization 0.0 μB/f.u.. Number 5: total magnetization 0.6 μB/f.u.. Number 6: total magnetization 0.0 μB/f.u.. Number 7: total magnetization 2.7 μB/f.u.. Number 8: total magnetization 4.0 μB/f.u.. Number 9: total magnetization 6.4 μB/f.u.. Number 10: total magnetization 0.0 μB/f.u..